{"formula": "Ba2Nb2Sn", "functional": "PBE", "state": "optimized geometry", "lattice_angstrom": [[10.052, 0.000, 0.000], [0.000, 10.052, 0.000], [0.000, 0.000, 3.496]], "species": ["Ba", "Ba", "Ba", "Ba", "Nb", "Nb", "Nb", "Nb", "Sn", "Sn"], "frac_coords": [[0.209, 0.291, 0.000], [0.291, 0.791, 0.000], [0.709, 0.209, 0.000], [0.791, 0.709, 0.000], [0.078, 0.578, 0.500], [0.422, 0.078, 0.500], [0.578, 0.922, 0.500], [0.922, 0.422, 0.500], [0.000, 0.000, 0.000], [0.500, 0.500, 0.000]], "final_energy_ev_per_atom": -4.76, "formation_energy_kj_per_mol_atoms": 80.8, "magnetic_moment_mub_per_fu": 0.0, "dos_at_fermi_per_ev_cell": 7.08, "crystal_system": "tetragonal"}


{"formula": "Tb2PmY6Er3", "functional": "PBE", "state": "optimized geometry", "lattice_angstrom": [[3.085, -5.337, 0.000], [3.085, 5.337, 0.000], [-2.046, 0.000, 11.618]], "species": ["Tb", "Tb", "Pm", "Y", "Y", "Y", "Y", "Y", "Y", "Er", "Er", "Er"], "frac_coords": [[0.167, 0.833, 0.000], [0.833, 0.167, 0.000], [0.500, 0.500, 0.000], [0.082, 0.415, 0.748], [0.251, 0.251, 0.252], [0.415, 0.082, 0.748], [0.585, 0.918, 0.252], [0.749, 0.749, 0.748], [0.918, 0.585, 0.252], [0.000, 0.000, 0.500], [0.333, 0.667, 0.500], [0.667, 0.333, 0.500]], "final_energy_ev_per_atom": -5.52, "formation_energy_kj_per_mol_atoms": 2.1, "magnetic_moment_mub_per_fu": 0.0, "dos_at_fermi_per_ev_cell": 17.30, "crystal_system": "monoclinic"}


{"formula": "Pm4MgCu", "functional": "PBE", "state": "optimized geometry", "lattice_angstrom": [[4.927, 0.000, 0.000], [0.000, 4.940, 0.000], [0.000, 0.000, 7.972]], "species": ["Pm", "Pm", "Pm", "Pm", "Mg", "Cu"], "frac_coords": [[0.000, 0.000, 0.214], [0.000, 0.000, 0.786], [0.500, 0.500, 0.215], [0.500, 0.500, 0.785], [0.500, 0.000, 0.500], [0.000, 0.500, 0.000]], "final_energy_ev_per_atom": -3.89, "formation_energy_kj_per_mol_atoms": 21.8, "magnetic_moment_mub_per_fu": 0.0, "dos_at_fermi_per_ev_cell": 8.64, "crystal_system": "orthorhombic"}


{"formula": "V2Re2W3", "functional": "PBE", "state": "optimized geometry", "lattice_angstrom": [[4.928, -1.554, 0.000], [4.928, 1.554, 0.000], [-0.962, 0.000, 6.876]], "species": ["V", "V", "Re", "Re", "W", "W", "W"], "frac_coords": [[0.144, 0.144, 0.432], [0.856, 0.856, 0.568], [0.431, 0.431, 0.294], [0.569, 0.569, 0.706], [0.000, 0.000, 0.000], [0.285, 0.285, 0.851], [0.715, 0.715, 0.149]], "final_energy_ev_per_atom": -11.87, "formation_energy_kj_per_mol_atoms": -14.6, "magnetic_moment_mub_per_fu": 0.0, "dos_at_fermi_per_ev_cell": 4.04, "crystal_system": "monoclinic"}


{"formula": "GaSn2Hg2", "functional": "PBE", "state": "optimized geometry", "lattice_angstrom": [[7.669, 0.000, 0.000], [0.000, 7.669, 0.000], [0.000, 0.000, 4.538]], "species": ["Ga", "Ga", "Sn", "Sn", "Sn", "Sn", "Hg", "Hg", "Hg", "Hg"], "frac_coords": [[0.000, 0.000, 0.000], [0.500, 0.500, 0.000], [0.145, 0.355, 0.000], [0.355, 0.855, 0.000], [0.645, 0.145, 0.000], [0.855, 0.645, 0.000], [0.164, 0.664, 0.500], [0.336, 0.164, 0.500], [0.664, 0.836, 0.500], [0.836, 0.336, 0.500]], "final_energy_ev_per_atom": -2.21, "formation_energy_kj_per_mol_atoms": 11.3, "magnetic_moment_mub_per_fu": 0.0, "dos_at_fermi_per_ev_cell": 5.31, "crystal_system": "tetragonal"}


{"formula": "In2SO", "functional": "PBE", "state": "optimized geometry", "lattice_angstrom": [[0.000, 3.285, 3.285], [3.285, 0.000, 3.285], [3.285, 3.285, 0.000]], "species": ["In", "In", "S", "O"], "frac_coords": [[0.250, 0.250, 0.250], [0.750, 0.750, 0.750], [0.000, 0.000, 0.000], [0.500, 0.500, 0.500]], "final_energy_ev_per_atom": -3.83, "magnetic_moment_mub_per_fu": 0.0, "formation_energy_uncorrected_mev_per_atom": -185, "dos_at_fermi_per_ev_cell": 1.69, "crystal_system": "cubic"}


{"formula": "Y2RuBr", "functional": "PBE", "state": "optimized geometry", "lattice_angstrom": [[3.411, 0.000, 0.000], [0.000, 3.411, 0.000], [0.000, 0.000, 8.172]], "species": ["Y", "Y", "Ru", "Br"], "frac_coords": [[0.000, 0.000, 0.205], [0.000, 0.000, 0.795], [0.500, 0.500, 0.000], [0.500, 0.500, 0.500]], "final_energy_ev_per_atom": -6.72, "magnetic_moment_mub_per_fu": 0.0, "formation_energy_uncorrected_mev_per_atom": -748, "dos_at_fermi_per_ev_cell": 1.56, "crystal_system": "tetragonal"}


{"formula": "LiI3Br", "functional": "PBE", "state": "optimized geometry", "lattice_angstrom": [[6.011, 0.000, 0.000], [0.000, 6.011, 0.000], [0.000, 0.000, 6.011]], "species": ["Li", "I", "I", "I", "Br"], "frac_coords": [[0.000, 0.000, 0.000], [0.000, 0.500, 0.500], [0.500, 0.000, 0.500], [0.500, 0.500, 0.000], [0.500, 0.500, 0.500]], "final_energy_ev_per_atom": -1.70, "magnetic_moment_mub_per_fu": 0.0, "formation_energy_uncorrected_mev_per_atom": -51, "dos_at_fermi_per_ev_cell": 1.33, "crystal_system": "cubic"}


{"formula": "LaO", "functional": "PBE", "state": "optimized geometry", "lattice_angstrom": [[10.180, 0.000, 0.000], [0.000, 10.180, 0.000], [0.000, 0.000, 4.110]], "species": ["La", "La", "La", "La", "La", "La", "La", "La", "O", "O", "O", "O", "O", "O", "O", "O"], "frac_coords": [[0.076, 0.329, 0.000], [0.243, 0.589, 0.500], [0.329, 0.924, 0.000], [0.411, 0.243, 0.500], [0.589, 0.757, 0.500], [0.671, 0.076, 0.000], [0.757, 0.411, 0.500], [0.924, 0.671, 0.000], [0.133, 0.559, 0.000], [0.203, 0.353, 0.500], [0.353, 0.797, 0.500], [0.441, 0.133, 0.000], [0.559, 0.867, 0.000], [0.647, 0.203, 0.500], [0.797, 0.647, 0.500], [0.867, 0.441, 0.000]], "final_energy_ev_per_atom": -7.66, "magnetic_moment_mub_per_fu": 0.4, "formation_energy_uncorrected_mev_per_atom": -2718, "dos_at_fermi_per_ev_cell": 9.01, "crystal_system": "tetragonal"}


{"formula": "LaSi2NiPd2", "functional": "PBE", "state": "optimized geometry", "lattice_angstrom": [[4.400, 0.000, 0.000], [0.000, 4.400, 0.000], [0.000, 0.000, 5.599]], "species": ["La", "Si", "Si", "Ni", "Pd", "Pd"], "frac_coords": [[0.000, 0.000, 0.000], [0.000, 0.500, 0.500], [0.500, 0.000, 0.500], [0.000, 0.000, 0.500], [0.500, 0.500, 0.248], [0.500, 0.500, 0.752]], "final_energy_ev_per_atom": -5.87, "magnetic_moment_mub_per_fu": 0.0, "formation_energy_uncorrected_mev_per_atom": -550, "dos_at_fermi_per_ev_cell": 4.21, "crystal_system": "tetragonal"}


{"formula": "BaMgHg3", "functional": "PBE", "state": "optimized geometry", "lattice_angstrom": [[5.440, 0.000, 0.000], [0.000, 5.440, 0.000], [0.000, 0.000, 5.440]], "species": ["Ba", "Mg", "Hg", "Hg", "Hg"], "frac_coords": [[0.000, 0.000, 0.000], [0.500, 0.500, 0.500], [0.000, 0.500, 0.500], [0.500, 0.000, 0.500], [0.500, 0.500, 0.000]], "final_energy_ev_per_atom": -1.15, "formation_energy_kj_per_mol_atoms": -25.5, "magnetic_moment_mub_per_fu": 0.0, "dos_at_fermi_per_ev_cell": 2.94, "crystal_system": "cubic"}


{"formula": "TbBePd6", "functional": "PBE", "state": "optimized geometry", "lattice_angstrom": [[4.421, 2.553, 1.950], [-4.421, 2.553, 1.950], [0.000, -5.105, 1.950]], "species": ["Tb", "Be", "Pd", "Pd", "Pd", "Pd", "Pd", "Pd"], "frac_coords": [[0.000, 0.000, 0.000], [0.500, 0.500, 0.500], [0.240, 0.240, 0.682], [0.240, 0.682, 0.240], [0.318, 0.760, 0.760], [0.682, 0.240, 0.240], [0.760, 0.318, 0.760], [0.760, 0.760, 0.318]], "final_energy_ev_per_atom": -5.29, "formation_energy_kj_per_mol_atoms": -33.9, "magnetic_moment_mub_per_fu": 0.0, "dos_at_fermi_per_ev_cell": 3.02, "crystal_system": "trigonal"}